1.
Crystalline HfGa3Pd6 at its relaxed geometry. Source: the Alexandria database, functional PBE.

POSCAR file:
```
HfGa3Pd6
1.0
10.108 0.000 0.000
0.000 2.996 0.000
-2.191 0.000 10.592
Hf Ga Pd
2 6 12
Cartesian
-0.050 0.749 2.342
7.968 2.247 8.250
-0.393 0.749 6.256
1.249 2.247 10.494
3.208 0.749 4.073
4.710 2.247 6.519
6.668 0.749 0.098
8.310 2.247 4.336
-0.958 0.749 10.356
0.925 2.247 4.610
0.564 2.247 8.091
2.238 2.247 2.127
2.577 0.749 6.578
4.661 0.749 1.610
3.256 2.247 8.983
5.340 2.247 4.014
5.679 0.749 8.465
7.353 0.749 2.501
6.992 0.749 5.982
8.875 2.247 0.236
```

Results
Size of the total moment, μB per atom: 0.00
Space-group type: P2_1/m
DFT total energy, Ry/atom: -0.4105
Energy of formation, kJ/mol of atoms: -54.6

***

2.
Crystalline K2MnHg at its relaxed geometry. Source: the Alexandria database, functional PBE.

POSCAR file:
```
K2MnHg
1.0
-2.655 2.655 5.070
2.655 -2.655 5.070
2.655 2.655 -5.070
K Mn Hg
2 1 1
Cartesian
2.655 0.000 2.535
0.000 2.655 2.535
0.000 0.000 0.000
0.000 0.000 5.070
```

Results
Size of the total moment, μB per atom: 1.08
Space-group type: I4/mmm
DFT total energy, Ry/atom: -0.1776
Energy of formation, kJ/mol of atoms: 48.3

***

3.
Crystalline HoSnGe at its relaxed geometry. Source: the Alexandria database, functional PBE.

POSCAR file:
```
HoSnGe
1.0
2.149 -8.141 0.000
2.149 8.141 0.000
0.000 0.000 4.050
Ho Sn Ge
2 2 2
Cartesian
2.149 6.609 3.037
2.149 -6.609 1.012
2.149 3.938 1.012
2.149 -3.938 3.037
2.149 0.881 3.037
2.149 -0.881 1.012
```

Results
Size of the total moment, μB per atom: 0.00
Space-group type: Cmcm
DFT total energy, Ry/atom: -0.3685
Energy of formation, kJ/mol of atoms: -59.2

***

4.
Crystalline NaSrIn2Cl5 at its relaxed geometry. Source: the Alexandria database, functional PBE.

POSCAR file:
```
NaSrIn2Cl5
1.0
2.204 -9.179 0.000
2.204 9.179 0.000
0.000 0.000 14.084
Na Sr In Cl
2 2 4 10
Cartesian
2.204 8.611 7.042
2.204 -8.611 0.000
2.204 4.070 0.718
2.204 -4.070 7.760
2.204 2.202 4.420
2.204 1.800 10.019
2.204 -1.800 2.977
2.204 -2.202 11.462
2.204 9.001 11.482
2.204 6.968 0.728
2.204 5.806 6.016
2.204 4.949 9.706
2.204 1.217 1.445
2.204 -1.217 8.487
2.204 -4.949 2.664
2.204 -5.806 13.058
2.204 -6.968 7.770
2.204 -9.001 4.440
```

Results
Size of the total moment, μB per atom: 0.00
Formation energy (no corrections), eV per atom: -1.560
Space-group type: Cmc2_1
DFT total energy, Ry/atom: -0.2593